Entry 1:
## SmEr2Mg6 (PBE)

Data for crystalline SmEr2Mg6 at its relaxed geometry.

Geometry as CIF:
```
data_SmEr2Mg6
_symmetry_space_group_name_H-M 'P 6/m m m'
_symmetry_Int_Tables_number 191
_symmetry_space_group_name_Hall '-P 6 2'
_cell_length_a 9.0752
_cell_length_b 9.0752
_cell_length_c 3.2849
_cell_angle_alpha 90.00
_cell_angle_beta 90.00
_cell_angle_gamma 120.00
loop_
_atom_site_label
_atom_site_type_symbol
_atom_site_fract_x
_atom_site_fract_y
_atom_site_fract_z
Sm1 Sm 0.0000 0.0000 0.0000
Er1 Er 0.3333 0.6667 0.0000
Mg1 Mg 0.0000 0.3364 0.5000
```

Entry 2:
## Sm2Er3Mg (PBE)

Data for crystalline Sm2Er3Mg at its relaxed geometry.

Geometry as CIF:
```
data_Sm2Er3Mg
_symmetry_space_group_name_H-M 'C 1 2/c 1'
_symmetry_Int_Tables_number 15
_symmetry_space_group_name_Hall '-C 2yc'
_cell_length_a 9.8144
_cell_length_b 11.4856
_cell_length_c 6.7495
_cell_angle_alpha 90.00
_cell_angle_beta 95.89
_cell_angle_gamma 90.00
loop_
_atom_site_label
_atom_site_type_symbol
_atom_site_fract_x
_atom_site_fract_y
_atom_site_fract_z
Sm1 Sm 0.1632 0.2334 0.1951
Er1 Er 0.0000 0.0487 0.7500
Er2 Er 0.1909 0.4814 0.4864
Mg1 Mg 0.0000 0.3208 0.7500
```

Entry 3:
## SmEr2Mg (PBE)

Data for crystalline SmEr2Mg at its relaxed geometry.

Geometry as CIF:
```
data_SmEr2Mg
_symmetry_space_group_name_H-M 'R -3 m'
_symmetry_Int_Tables_number 166
_symmetry_space_group_name_Hall '-R 3 2"'
_cell_length_a 3.4406
_cell_length_b 3.4406
_cell_length_c 36.6803
_cell_angle_alpha 90.00
_cell_angle_beta 90.00
_cell_angle_gamma 120.00
loop_
_atom_site_label
_atom_site_type_symbol
_atom_site_fract_x
_atom_site_fract_y
_atom_site_fract_z
Sm1 Sm 0.0000 0.0000 0.0000
Er1 Er 0.0000 0.0000 0.4114
Mg1 Mg 0.0000 0.0000 0.5000
```

Entry 4:
## Sm6ErMg (PBE)

Data for crystalline Sm6ErMg at its relaxed geometry.

Geometry as CIF:
```
data_Sm6ErMg
_symmetry_space_group_name_H-M 'P 4/m m m'
_symmetry_Int_Tables_number 123
_symmetry_space_group_name_Hall '-P 4 2'
_cell_length_a 5.0237
_cell_length_b 5.0237
_cell_length_c 10.1353
_cell_angle_alpha 90.00
_cell_angle_beta 90.00
_cell_angle_gamma 90.00
loop_
_atom_site_label
_atom_site_type_symbol
_atom_site_fract_x
_atom_site_fract_y
_atom_site_fract_z
Sm1 Sm 0.0000 0.0000 0.0000
Sm2 Sm 0.0000 0.0000 0.5000
Sm3 Sm 0.0000 0.5000 0.2477
Er1 Er 0.5000 0.5000 0.5000
Mg1 Mg 0.5000 0.5000 0.0000
```

Entry 5:
## Sm7ErMg4 (PBE)

Data for crystalline Sm7ErMg4 at its relaxed geometry.

Geometry as CIF:
```
data_Sm7ErMg4
_symmetry_space_group_name_H-M 'C 1 2/m 1'
_symmetry_Int_Tables_number 12
_symmetry_space_group_name_Hall '-C 2y'
_cell_length_a 15.2979
_cell_length_b 5.8122
_cell_length_c 9.7552
_cell_angle_alpha 90.00
_cell_angle_beta 121.30
_cell_angle_gamma 90.00
loop_
_atom_site_label
_atom_site_type_symbol
_atom_site_fract_x
_atom_site_fract_y
_atom_site_fract_z
Sm1 Sm 0.0000 0.0000 0.0000
Sm2 Sm 0.0814 0.5000 0.4251
Sm3 Sm 0.1978 0.5000 0.8775
Sm4 Sm 0.2482 0.0000 0.7124
Er1 Er 0.0000 0.5000 0.0000
Mg1 Mg 0.0395 0.0000 0.6951
Mg2 Mg 0.1747 0.0000 0.3450
```

Entry 6:
## Sm4Er4Mg (PBE)

Data for crystalline Sm4Er4Mg at its relaxed geometry.

Geometry as CIF:
```
data_Sm4Er4Mg
_symmetry_space_group_name_H-M 'P -1'
_symmetry_Int_Tables_number 2
_symmetry_space_group_name_Hall '-P 1'
_cell_length_a 6.1467
_cell_length_b 9.3797
_cell_length_c 10.5681
_cell_angle_alpha 78.61
_cell_angle_beta 89.55
_cell_angle_gamma 71.07
loop_
_atom_site_label
_atom_site_type_symbol
_atom_site_fract_x
_atom_site_fract_y
_atom_site_fract_z
Sm1 Sm 0.0843 0.1676 0.4711
Sm2 Sm 0.2520 0.5001 0.4182
Sm3 Sm 0.4110 0.8381 0.0283
Sm4 Sm 0.4128 0.8319 0.6968
Er1 Er 0.0829 0.1647 0.8058
Er2 Er 0.0860 0.1683 0.1354
Er3 Er 0.2453 0.4975 0.7584
Er4 Er 0.4188 0.8341 0.3581
Mg1 Mg 0.2503 0.5029 0.0820
```

Entry 7:
## Sm6Er8Mg (PBE)

Data for crystalline Sm6Er8Mg at its relaxed geometry.

Geometry as CIF:
```
data_Sm6Er8Mg
_symmetry_space_group_name_H-M 'P -3'
_symmetry_Int_Tables_number 147
_symmetry_space_group_name_Hall '-P 3'
_cell_length_a 9.3130
_cell_length_b 9.3130
_cell_length_c 6.6290
_cell_angle_alpha 90.00
_cell_angle_beta 90.00
_cell_angle_gamma 120.00
loop_
_atom_site_label
_atom_site_type_symbol
_atom_site_fract_x
_atom_site_fract_y
_atom_site_fract_z
Sm1 Sm 0.0810 0.4027 0.3961
Er1 Er 0.0169 0.6888 0.1080
Er2 Er 0.3333 0.6667 0.8334
Mg1 Mg 0.0000 0.0000 0.5000
```

Entry 8:
## Sm8Er3Mg2 (PBE)

Data for crystalline Sm8Er3Mg2 at its relaxed geometry.

Geometry as CIF:
```
data_Sm8Er3Mg2
_symmetry_space_group_name_H-M 'C m m m'
_symmetry_Int_Tables_number 65
_symmetry_space_group_name_Hall '-C 2 2'
_cell_length_a 8.0207
_cell_length_b 19.1675
_cell_length_c 5.6186
_cell_angle_alpha 90.00
_cell_angle_beta 90.00
_cell_angle_gamma 90.00
loop_
_atom_site_label
_atom_site_type_symbol
_atom_site_fract_x
_atom_site_fract_y
_atom_site_fract_z
Sm1 Sm 0.0000 0.1305 0.0000
Sm2 Sm 0.0000 0.3280 0.0000
Sm3 Sm 0.2072 0.3872 0.5000
Er1 Er 0.0000 0.0000 0.5000
Er2 Er 0.2068 0.5000 0.0000
Mg1 Mg 0.0000 0.2356 0.5000
```

Entry 9:
## Sm2ErMg2 (PBE)

Data for crystalline Sm2ErMg2 at its relaxed geometry.

Geometry as CIF:
```
data_Sm2ErMg2
_symmetry_space_group_name_H-M 'P 1 21/m 1'
_symmetry_Int_Tables_number 11
_symmetry_space_group_name_Hall '-P 2yb'
_cell_length_a 3.7897
_cell_length_b 5.4433
_cell_length_c 14.1609
_cell_angle_alpha 90.00
_cell_angle_beta 97.72
_cell_angle_gamma 90.00
loop_
_atom_site_label
_atom_site_type_symbol
_atom_site_fract_x
_atom_site_fract_y
_atom_site_fract_z
Sm1 Sm 0.0450 0.2500 0.0890
Sm2 Sm 0.2361 0.2500 0.4737
Er1 Er 0.1513 0.7500 0.3014
Mg1 Mg 0.3600 0.7500 0.7202
Mg2 Mg 0.4448 0.2500 0.8899
```

Entry 10:
## SmEr6Mg (PBE)

Data for crystalline SmEr6Mg at its relaxed geometry.

Geometry as CIF:
```
data_SmEr6Mg
_symmetry_space_group_name_H-M 'C 1 2/m 1'
_symmetry_Int_Tables_number 12
_symmetry_space_group_name_Hall '-C 2y'
_cell_length_a 11.0426
_cell_length_b 4.9676
_cell_length_c 9.7880
_cell_angle_alpha 90.00
_cell_angle_beta 116.33
_cell_angle_gamma 90.00
loop_
_atom_site_label
_atom_site_type_symbol
_atom_site_fract_x
_atom_site_fract_y
_atom_site_fract_z
Sm1 Sm 0.0000 0.0000 0.0000
Er1 Er 0.0024 0.5000 0.7481
Er2 Er 0.2459 0.0000 0.3768
Er3 Er 0.2496 0.0000 0.8721
Mg1 Mg 0.0000 0.0000 0.5000
```

Entry 11:
## Sm2Er6Mg (PBE)

Data for crystalline Sm2Er6Mg at its relaxed geometry.

Geometry as CIF:
```
data_Sm2Er6Mg
_symmetry_space_group_name_H-M 'P -6 m 2'
_symmetry_Int_Tables_number 187
_symmetry_space_group_name_Hall 'P -6 2'
_cell_length_a 3.5289
_cell_length_b 3.5289
_cell_length_c 25.8928
_cell_angle_alpha 90.00
_cell_angle_beta 90.00
_cell_angle_gamma 120.00
loop_
_atom_site_label
_atom_site_type_symbol
_atom_site_fract_x
_atom_site_fract_y
_atom_site_fract_z
Sm1 Sm 0.0000 0.0000 0.1735
Er1 Er 0.0000 0.0000 0.3949
Er2 Er 0.6667 0.3333 0.0643
Er3 Er 0.6667 0.3333 0.2877
Mg1 Mg 0.6667 0.3333 0.5000
```

Entry 12:
## Sm8Er3Mg (PBE)

Data for crystalline Sm8Er3Mg at its relaxed geometry.

Geometry as CIF:
```
data_Sm8Er3Mg
_symmetry_space_group_name_H-M 'I -4 2 m'
_symmetry_Int_Tables_number 121
_symmetry_space_group_name_Hall 'I -4 2'
_cell_length_a 8.6328
_cell_length_b 8.6328
_cell_length_c 11.4389
_cell_angle_alpha 90.00
_cell_angle_beta 90.00
_cell_angle_gamma 90.00
loop_
_atom_site_label
_atom_site_type_symbol
_atom_site_fract_x
_atom_site_fract_y
_atom_site_fract_z
Sm1 Sm 0.1273 0.1273 0.2464
Sm2 Sm 0.2477 0.2477 0.9869
Er1 Er 0.0000 0.0000 0.0000
Er2 Er 0.0000 0.5000 0.2500
Mg1 Mg 0.0000 0.0000 0.5000
```

Entry 13:
## Sm5Er12Mg3 (PBE)

Data for crystalline Sm5Er12Mg3 at its relaxed geometry.

Geometry as CIF:
```
data_Sm5Er12Mg3
_symmetry_space_group_name_H-M 'I a -3 d'
_symmetry_Int_Tables_number 230
_symmetry_space_group_name_Hall '-I 4bd 2c 3'
_cell_length_a 18.4983
_cell_length_b 18.4983
_cell_length_c 18.4983
_cell_angle_alpha 90.00
_cell_angle_beta 90.00
_cell_angle_gamma 90.00
loop_
_atom_site_label
_atom_site_type_symbol
_atom_site_fract_x
_atom_site_fract_y
_atom_site_fract_z
Sm1 Sm 0.0000 0.0000 0.0000
Sm2 Sm 0.0000 0.2500 0.3750
Er1 Er 0.0011 0.0812 0.6491
Mg1 Mg 0.0000 0.2500 0.1250
```

Entry 14:
## SmErMg (PBE)

Data for crystalline SmErMg at its relaxed geometry.

Geometry as CIF:
```
data_SmErMg
_symmetry_space_group_name_H-M 'I 4 m m'
_symmetry_Int_Tables_number 107
_symmetry_space_group_name_Hall 'I 4 -2'
_cell_length_a 3.6417
_cell_length_b 3.6417
_cell_length_c 13.2689
_cell_angle_alpha 90.00
_cell_angle_beta 90.00
_cell_angle_gamma 90.00
loop_
_atom_site_label
_atom_site_type_symbol
_atom_site_fract_x
_atom_site_fract_y
_atom_site_fract_z
Sm1 Sm 0.0000 0.0000 0.0000
Er1 Er 0.0000 0.0000 0.6800
Mg1 Mg 0.0000 0.0000 0.3354
```

Entry 15:
## Sm3Er3Mg (PBE)

Data for crystalline Sm3Er3Mg at its relaxed geometry.

Geometry as CIF:
```
data_Sm3Er3Mg
_symmetry_space_group_name_H-M 'R -3'
_symmetry_Int_Tables_number 148
_symmetry_space_group_name_Hall '-R 3'
_cell_length_a 6.1749
_cell_length_b 6.1749
_cell_length_c 41.8127
_cell_angle_alpha 90.00
_cell_angle_beta 90.00
_cell_angle_gamma 120.00
loop_
_atom_site_label
_atom_site_type_symbol
_atom_site_fract_x
_atom_site_fract_y
_atom_site_fract_z
Sm1 Sm 0.9997 0.3343 0.4350
Er1 Er 0.9998 0.3325 0.6328
Mg1 Mg 0.0000 0.0000 0.1666
```

Entry 16:
## Sm12Er2Mg (PBE)

Data for crystalline Sm12Er2Mg at its relaxed geometry.

Geometry as CIF:
```
data_Sm12Er2Mg
_symmetry_space_group_name_H-M 'C m m e'
_symmetry_Int_Tables_number 67
_symmetry_space_group_name_Hall '-C 2a 2'
_cell_length_a 7.1430
_cell_length_b 11.5068
_cell_length_c 24.5821
_cell_angle_alpha 90.00
_cell_angle_beta 90.00
_cell_angle_gamma 90.00
loop_
_atom_site_label
_atom_site_type_symbol
_atom_site_fract_x
_atom_site_fract_y
_atom_site_fract_z
Sm1 Sm 0.0000 0.0001 0.0741
Sm2 Sm 0.0000 0.0227 0.4392
Sm3 Sm 0.2330 0.2500 0.5878
Sm4 Sm 0.2500 0.0000 0.1966
Sm5 Sm 0.2500 0.0000 0.3235
Sm6 Sm 0.2497 0.2500 0.1266
Er1 Er 0.0000 0.2500 0.2664
Er2 Er 0.0000 0.2500 0.7368
Mg1 Mg 0.0000 0.2500 0.9999
```

Entry 17:
## Sm4Er4Mg (PBE)

Data for crystalline Sm4Er4Mg at its relaxed geometry.

Geometry as CIF:
```
data_Sm4Er4Mg
_symmetry_space_group_name_H-M 'I 4/m m m'
_symmetry_Int_Tables_number 139
_symmetry_space_group_name_Hall '-I 4 2'
_cell_length_a 10.5753
_cell_length_b 10.5753
_cell_length_c 5.0154
_cell_angle_alpha 90.00
_cell_angle_beta 90.00
_cell_angle_gamma 90.00
loop_
_atom_site_label
_atom_site_type_symbol
_atom_site_fract_x
_atom_site_fract_y
_atom_site_fract_z
Sm1 Sm 0.1664 0.1664 0.0000
Er1 Er 0.0000 0.3347 0.5000
Mg1 Mg 0.0000 0.0000 0.5000
```

| no. | E_tot (eV per atom) | formation energy (kcal/mol of atoms) |
| --- | --- | --- |
| 1 | -2.67 | -1.63 |
| 2 | -3.98 | 3.13 |
| 3 | -3.65 | 4.90 |
| 4 | -4.30 | 0.22 |
| 5 | -3.52 | 3.30 |
| 6 | -4.28 | 0.56 |
| 7 | -4.18 | 5.71 |
| 8 | -4.05 | 3.48 |
| 9 | -3.50 | -1.47 |
| 10 | -4.18 | 0.77 |
| 11 | -4.19 | 1.75 |
| 12 | -3.86 | 13.01 |
| 13 | -3.19 | 22.29 |
| 14 | -3.67 | -0.92 |
| 15 | -4.12 | 2.01 |
| 16 | -4.34 | 3.45 |
| 17 | -4.28 | 0.48 |